1.
This record from the Alexandria database describes a geometry-optimized Dy4Er5Zr structure. The functional is PBE.

a b c (Å): 5.826 7.893 7.893
angles (deg): 82.17 68.34 68.34
Fractional positions:
Zr1 0.211 0.000 0.000
Dy1 0.117 0.321 0.321
Er1 0.783 0.000 0.369
Dy2 0.439 0.321 0.679
Er2 0.152 0.000 0.631
Dy3 0.759 0.679 0.679
Dy4 0.438 0.679 0.321
Er3 0.783 0.369 0.000
Er4 0.675 0.000 0.000
Er5 0.153 0.631 0.000

Calculated values
Volume (Å³/cell): 313.5
Magnetic moment (μB per atom): 0.0001
DFT total energy (eV/cell): -47.27
Excess energy over the best structure of this formula in the dataset (eV/atom): 0.208
ΔH_f (0 K) (eV per atom): 0.25

2.
This record from the Alexandria database describes a geometry-optimized Gd2Sc structure. The functional is PBE.

a b c (Å): 6.389 6.389 6.389
angles (deg): 60.00 60.00 60.00
Site moments in Bohr magnetons follow the coordinates.
Fractional positions:
Gd1 0.625 0.625 0.125  7.14
Sc1 0.250 0.250 0.250  -0.20
Gd2 0.625 0.125 0.625  7.14
Sc2 0.000 0.000 0.000  -0.20
Gd3 0.125 0.625 0.625  7.14
Gd4 0.625 0.625 0.625  7.14

Calculated values
Volume (Å³/cell): 184.5
Magnetic moment (μB per atom): 4.7573
DFT total energy (eV/cell): -66.93
Excess energy over the best structure of this formula in the dataset (eV/atom): 0.282
ΔH_f (0 K) (eV per atom): 0.34

3.
This record from the Alexandria database describes a geometry-optimized CaPr5Nd2Sm structure. The functional is PBE.

a b c (Å): 9.303 9.303 10.093
angles (deg): 117.44 117.44 90.00
Fractional positions:
Sm1 0.250 0.250 0.500
Nd1 0.886 0.614 0.000
Pr1 0.075 0.575 0.737
Sm2 0.750 0.750 0.500
Pr2 0.925 0.425 0.263
Pr3 0.838 0.925 0.263
Nd2 0.386 0.886 0.000
Nd3 0.114 0.386 0.000
Pr4 0.425 0.338 0.263
Nd4 0.614 0.114 0.000
Pr5 0.000 0.000 0.000
Ca1 0.750 0.250 0.500
Pr6 0.662 0.162 0.737
Pr7 0.575 0.662 0.737
Pr8 0.162 0.075 0.737
Pr9 0.500 0.500 0.000
Ca2 0.250 0.750 0.500
Pr10 0.338 0.838 0.263

Calculated values
Volume (Å³/cell): 662.5
Magnetic moment (μB per atom): 0.0000
DFT total energy (eV/cell): -75.52
ΔH_f (0 K) (eV per atom): 0.27

4.
This record from the Alexandria database describes a geometry-optimized Pu6Tc2Ge structure. The functional is PBE.

a b c (Å): 2.398 8.569 8.569
angles (deg): 120.00 90.00 90.00
Fractional positions:
Pu1 0.200 0.337 0.000
Ge1 0.500 0.000 0.000
Tc1 0.500 0.667 0.333
Pu2 0.200 0.663 0.663
Pu3 0.800 0.663 0.000
Pu4 0.800 0.337 0.337
Tc2 0.500 0.333 0.667
Pu5 0.800 0.000 0.663
Pu6 0.200 0.000 0.337

Calculated values
Volume (Å³/cell): 152.5
Magnetic moment (μB per atom): 0.0000
DFT total energy (eV/cell): -108.28
ΔH_f (0 K) (eV per atom): 0.34

5.
This record from the Alexandria database describes a geometry-optimized TaCr2Se6 structure. The functional is PBE.

a b c (Å): 3.509 7.994 8.613
angles (deg): 112.51 101.75 90.00
Site moments in Bohr magnetons follow the coordinates.
Fractional positions:
Se1 0.676 0.557 0.352  -0.16
Cr1 0.163 0.323 0.325  2.64
Se2 0.003 0.243 0.006  -0.05
Se3 0.997 0.757 0.994  -0.05
Se4 0.335 0.900 0.669  -0.10
Ta1 0.500 0.000 0.000  0.13
Cr2 0.837 0.677 0.675  2.64
Se5 0.324 0.443 0.648  -0.16
Se6 0.665 0.100 0.331  -0.10

Calculated values
Volume (Å³/cell): 217.7
Raw formation energy (eV/f.u.): -5.39
Magnetic moment (μB per atom): 0.5573
DFT total energy (eV/cell): -57.40
Excess energy over the best structure of this formula in the dataset (eV/atom): 0.000

6.
This record from the Alexandria database describes a geometry-optimized TbCeIrBr structure. The functional is PBE.

a b c (Å): 4.073 4.073 8.136
angles (deg): 90.02 104.49 120.00
Site moments in Bohr magnetons follow the coordinates.
Fractional positions:
Ce1 0.097 0.947 0.059  0.68
Ir1 0.305 0.550 0.871  -0.04
Br1 0.967 0.382 0.363  0.00
Tb1 0.509 0.152 0.676  0.03

Calculated values
Volume (Å³/cell): 111.9
Raw formation energy (eV/f.u.): -4.26
Magnetic moment (μB per atom): 0.1976
DFT total energy (eV/cell): -25.36